This record from the Alexandria database describes crystalline FeSi2Pt at its relaxed geometry. The functional is GGA-PBE.

DOS at the Fermi energy: 0.756 states/eV/atom
Formation energy without anion corrections: -0.07 eV per atom

```
FeSi2Pt
1.0
4.899 0.007 0.012
-2.416 4.155 0.001
0.907 0.403 2.731
Fe Pt Si
1 1 2
Direct
0.500 0.500 0.000 Fe
0.500 0.000 0.500 Pt
0.000 0.000 0.000 Si
0.000 0.500 0.500 Si
```


This record from the Alexandria database describes crystalline YTh2Hg at its relaxed geometry. The functional is GGA-PBE.

DOS at the Fermi energy: 1.188 states/eV/atom
E_form: -0.0780 eV/atom
E above lowest polymorph: 0.000 eV/atom

```
YTh2Hg
1.0
5.084 0.000 0.000
0.000 4.787 0.000
0.000 0.000 4.787
Y Hg Th
1 1 2
Direct
0.500 0.500 0.500 Y
0.500 0.000 0.000 Hg
0.000 0.000 0.500 Th
0.000 0.500 0.000 Th
```


This record from the Alexandria database describes crystalline CoPd4Pt3 at its relaxed geometry. The functional is GGA-PBE.

DOS at the Fermi energy: 1.581 states/eV/atom
E_form: -0.0036 eV/atom
E above lowest polymorph: 0.000 eV/atom

```
CoPd4Pt3
1.0
2.782 0.000 0.000
0.000 4.321 -1.973
-1.391 -7.001 13.214
Co Pd Pt
1 4 3
Direct
0.500 0.000 0.000 Co
0.622 0.273 0.244 Pd
0.378 0.727 0.756 Pd
0.120 0.757 0.239 Pd
0.880 0.243 0.761 Pd
0.000 0.500 0.000 Pt
0.250 0.751 0.501 Pt
0.750 0.249 0.499 Pt
```


| no. | theoretical density (g/cm³) | total moment (Bohr magnetons per cell) |
| --- | --- | --- |
| 1 | 9.2 | 1.59 |
| 2 | 10.7 | 0.00 |
| 3 | 14.8 | 4.17 |